## MgNiGe2O6 (PBE+U)

Data for a geometry-optimized MgNiGe2O6 structure.

Cell and atoms, written as POSCAR:
```
MgNiGe2O6
1.0
5.217 -0.006 -0.006
0.925 6.553 -0.006
0.925 0.372 6.543
Mg Ni Ge O
2 2 4 12
Cartesian
4.838 2.023 4.784
2.230 4.896 1.746
4.838 5.979 0.593
2.230 0.940 5.938
4.692 2.662 1.338
4.984 5.427 3.947
2.376 4.257 5.192
2.084 1.493 2.583
3.803 2.064 2.820
5.874 3.982 4.630
3.265 4.856 3.711
1.194 2.938 1.900
1.327 1.144 4.096
3.132 2.767 5.628
5.741 5.775 2.434
3.936 4.153 0.903
4.747 1.354 0.155
4.930 6.683 5.186
2.321 5.566 6.375
2.138 0.236 1.345
```

Properties
Its raw total energy is -6.114 eV/atom. As for the symmetry: C2/c, No. 15. The total moment is 0.199 μB per atom.